Record 1
Entry from Alexandria: a geometry-optimized PaNiIr structure (PBE-GGA).

Values from the calculation:
VASP energy = -8.4886 eV/atom
mass density = 14.73 Mg/m³
total magnetic moment = 0.00 μB per cell

Unit cell a=3.6001 b=3.6001 c=4.9046 alpha=111.53 beta=111.53 gamma=90.00
Last column: nearest neighbours and their distance in Å.
Fractional positions:
Pa1 0.9918 0.9918 0.9837  5 Ni 2.72-2.94, 5 Ir 2.84-2.92
Ni1 0.6675 0.6675 0.3350  5 Pa 2.72-2.94, 5 Ir 2.74-2.93
Ir1 0.3406 0.3406 0.6813  5 Ni 2.74-2.93, 5 Pa 2.84-2.92

Record 2
Entry from Alexandria: a geometry-optimized Ba2LiPuO5 structure (PBE-GGA).

Values from the calculation:
mass density = 6.61 Mg/m³
raw formation energy = -2617 meV/atom
total magnetic moment = 6.00 μB per cell

Unit cell a=3.5702 b=7.7523 c=11.2916 alpha=90.00 beta=90.00 gamma=103.31
Last column: nearest neighbours and their distance in Å.
Fractional positions:
O1 0.0741 0.1482 0.0238  1 Pu 1.98, 2 Li 2.04
O2 0.3380 0.6760 0.0070  1 Pu 2.01
O3 0.6620 0.3240 0.5070  1 Pu 2.01
O4 0.4987 0.9975 0.2888  1 Li 1.90
O5 0.9259 0.8518 0.5238  1 Pu 1.98, 2 Li 2.04
O6 0.5013 0.0025 0.7889  1 Li 1.90
O7 0.6945 0.3889 0.8930  1 Li 2.13, 2 Pu 2.28
O8 0.3055 0.6111 0.3930  1 Li 2.13, 2 Pu 2.28
O9 0.2870 0.5740 0.6427  2 Pu 2.28
O10 0.7130 0.4260 0.1427  2 Pu 2.28
Li1 0.4424 0.8848 0.4398  4 O 1.90-2.13
Li2 0.5576 0.1152 0.9398  4 O 1.90-2.13
Ba1 0.8774 0.7549 0.8132  5 O 2.60-2.90
Ba2 0.1226 0.2451 0.3132  5 O 2.60-2.90
Ba3 0.8929 0.7858 0.1983  3 O 2.60-2.79
Ba4 0.1071 0.2142 0.6983  3 O 2.60-2.79
Pu1 0.7948 0.5895 0.5174  2 O 1.98-2.01
Pu2 0.2052 0.4105 0.0174  2 O 1.98-2.01